1.
Here is an optimized crystal structure of ScCoSb2 from the Open Quantum Materials Database. Energies are from PBE.

Values from the calculation:
As for the total energy: -5.92 eV per atom. The value obtained for the size of the total moment is 0.0 μB/cell.

a b c (Å): 5.849 4.063 7.031
angles (deg): 90.00 90.01 90.00
Element x y z (fractional)
Co1 0.501 0.250 0.250
Co2 0.499 0.750 0.750
Sc1 0.000 0.750 0.749
Sc2 0.000 0.250 0.251
Sb1 0.305 0.750 0.416
Sb2 0.303 0.250 0.917
Sb3 0.697 0.750 0.083
Sb4 0.695 0.250 0.584

***

2.
Here is an optimized crystal structure of TmGa2Pd3 from the Open Quantum Materials Database. Energies are from PBE.

Values from the calculation:
As for the total energy: -5.18 eV per atom. The value obtained for the size of the total moment is 0.0 μB/cell.

a b c (Å): 4.406 4.406 12.270
angles (deg): 90.00 90.00 120.00
Element x y z (fractional)
Pd1 0.333 0.667 0.372
Pd2 0.000 0.000 0.000
Pd3 0.000 0.000 0.500
Pd4 0.667 0.333 0.628
Pd5 0.667 0.333 0.872
Pd6 0.333 0.667 0.128
Ga1 0.667 0.333 0.087
Ga2 0.667 0.333 0.413
Ga3 0.333 0.667 0.913
Ga4 0.333 0.667 0.587
Tm1 0.000 0.000 0.750
Tm2 0.000 0.000 0.250

***

3.
Here is an optimized crystal structure of TaSnMo from the Open Quantum Materials Database. Energies are from PBE.

Values from the calculation:
As for the total energy: -8.32 eV per atom. As for the offset from the most stable computed form: 0.00 eV/f.u. The value obtained for the size of the total moment is 0.0 μB/cell.

a b c (Å): 4.514 4.514 4.514
angles (deg): 60.00 60.00 60.00
Element x y z (fractional)
Ta1 0.750 0.750 0.750
Mo1 0.000 0.000 0.000
Sn1 0.250 0.250 0.250

***

4.
Here is an optimized crystal structure of Gd3Sn2Pb5 from the Open Quantum Materials Database. Energies are from PBE.

Values from the calculation:
As for the total energy: -4.47 eV per atom. As for the offset from the most stable computed form: 0.10 eV/f.u. The value obtained for the size of the total moment is 0.0 μB/cell.

a b c (Å): 13.134 13.134 4.722
angles (deg): 90.00 90.00 159.58
Element x y z (fractional)
Gd1 0.687 0.313 0.000
Gd2 0.500 0.500 0.000
Gd3 0.313 0.687 0.000
Pb1 0.794 0.206 0.500
Pb2 0.206 0.794 0.500
Pb3 0.402 0.598 0.500
Pb4 0.000 0.000 0.500
Pb5 0.598 0.402 0.500
Sn1 0.903 0.097 0.000
Sn2 0.097 0.903 0.000